(1)
## ScCo2Si (GGA-PBE)

Data for a relaxed structure of ScCo2Si.

Calculated values
Magnetic moment (μB/f.u.): 0.9
Crystal system: monoclinic
Total energy (eV/atom): -6.823
DOS at the Fermi energy (states/eV/cell): 2.93
Space group: Pm, No. 6

POSCAR file:
```
ScCo2Si
1.0
-3.945 -1.262 0.363
0.841 -2.087 1.891
-0.236 1.933 4.153
Si Sc Co
1 1 2
direct
0.500 0.899 0.782
0.000 0.504 0.510
0.000 0.878 0.999
0.500 0.219 0.209
```

(2)
## TmTlCdCl6 (GGA-PBE)

Data for a relaxed structure of TmTlCdCl6.

Calculated values
Magnetic moment (μB/f.u.): 0.0
Crystal system: trigonal
Total energy (eV/atom): -3.719
DOS at the Fermi energy (states/eV/cell): 0.00
Space group: P-31c, No. 163

POSCAR file:
```
TmTlCdCl6
1.0
6.910 0.000 0.000
-3.455 5.984 0.000
0.000 0.000 14.039
Cl Tl Tm Cd
12 2 2 2
direct
0.377 0.005 0.143
0.005 0.377 0.643
0.995 0.371 0.143
0.623 0.629 0.643
0.005 0.629 0.857
0.629 0.005 0.357
0.371 0.377 0.857
0.629 0.623 0.143
0.995 0.623 0.357
0.371 0.995 0.643
0.623 0.995 0.857
0.377 0.371 0.357
0.000 0.000 0.000
0.000 0.000 0.500
0.333 0.667 0.750
0.667 0.333 0.250
0.333 0.667 0.250
0.667 0.333 0.750
```

(3)
## MnGaSe2S (GGA-PBE)

Data for a relaxed structure of MnGaSe2S.

Calculated values
Magnetic moment (μB/f.u.): 6.2
Crystal system: tetragonal
Total energy (eV/atom): -3.881
DOS at the Fermi energy (states/eV/cell): 4.71
Space group: P4/mmm, No. 123

POSCAR file:
```
MnGaSe2S
1.0
-4.714 0.316 0.960
0.643 -2.598 4.010
0.860 4.462 2.753
Mn Se S Ga
1 2 1 1
direct
0.000 0.000 0.500
0.000 0.500 0.000
0.500 0.000 0.000
0.500 0.500 0.500
0.000 0.000 0.000
```

(4)
## InMo2As (GGA-PBE)

Data for a relaxed structure of InMo2As.

Calculated values
Magnetic moment (μB/f.u.): 0.0
Crystal system: trigonal
Formation energy (eV/atom): 0.239
Energy above the lowest structure with this stoichiometry (kJ/mol of atoms): 19.8
DOS at the Fermi energy (states/eV/cell): 2.57
Space group: R-3m, No. 166

POSCAR file:
```
InMo2As
1.0
-8.335 2.397 0.807
-7.696 1.684 3.715
-7.001 4.463 2.632
As In Mo
1 1 2
direct
0.250 0.250 0.250
0.750 0.750 0.750
0.991 0.991 0.991
0.509 0.509 0.509
```

(5)
## Ba2SbMoPd (GGA-PBE)

Data for a relaxed structure of Ba2SbMoPd.

Calculated values
Magnetic moment (μB/f.u.): 4.9
Crystal system: tetragonal
Total energy (eV/atom): -4.434
DOS at the Fermi energy (states/eV/cell): 1.24
Space group: P4/mmm, No. 123

POSCAR file:
```
Ba2SbMoPd
1.0
-4.636 0.024 -4.048
-0.834 -4.889 0.926
-3.918 1.520 4.496
Ba Pd Sb Mo
2 1 1 1
direct
0.000 0.000 0.500
0.500 0.000 0.000
0.000 0.000 0.000
0.000 0.500 0.000
0.500 0.500 0.500
```

(6)
## LiVGa2P (GGA-PBE)

Data for a relaxed structure of LiVGa2P.

Calculated values
Magnetic moment (μB/f.u.): 3.3
Crystal system: tetragonal
Formation energy (eV/atom): 0.904
DOS at the Fermi energy (states/eV/cell): 3.64
Space group: P4/mmm, No. 123

POSCAR file:
```
LiVGa2P
1.0
-3.690 0.695 -3.123
-0.814 -4.735 -0.092
-3.090 0.458 3.754
Ga V Li P
2 1 1 1
direct
0.000 0.000 0.500
0.500 0.000 0.000
0.000 0.000 0.000
0.000 0.500 0.000
0.500 0.500 0.500
```

(7)
## LiZr3Pd4 (GGA-PBE)

Data for a relaxed structure of LiZr3Pd4.

Calculated values
Magnetic moment (μB/f.u.): 0.0
Crystal system: tetragonal
Formation energy (eV/atom): -0.562
DOS at the Fermi energy (states/eV/cell): 8.07
Space group: I4/mmm, No. 139

POSCAR file:
```
LiZr3Pd4
1.0
4.507 0.000 -1.217
-0.324 4.500 -1.200
-0.438 -0.502 7.333
Pd Zr Li
4 3 1
direct
0.622 0.621 0.243
0.878 0.878 0.757
0.122 0.122 0.243
0.378 0.379 0.757
0.257 0.758 0.515
0.000 0.500 0.000
0.743 0.242 0.485
0.500 0.000 0.000
```

(8)
## PmPr5Sm2 (GGA-PBE)

Data for a relaxed structure of PmPr5Sm2.

Calculated values
Magnetic moment (μB/f.u.): 0.0
Crystal system: orthorhombic
Formation energy (eV/atom): 0.013
Energy above the lowest structure with this stoichiometry (kJ/mol of atoms): 0.0
DOS at the Fermi energy (states/eV/cell): 26.25
Space group: Pbam, No. 55

POSCAR file:
```
PmPr5Sm2
1.0
-1.721 -3.465 3.500
6.412 -3.596 -0.407
5.366 8.334 10.890
Pr Sm Pm
10 4 2
direct
0.500 0.750 0.624
0.000 0.500 0.500
0.000 0.500 0.751
0.500 0.250 0.376
0.500 0.250 0.876
0.000 0.000 0.251
0.000 0.000 0.749
0.000 0.500 0.249
0.000 0.000 0.000
0.500 0.750 0.124
0.500 0.749 0.875
0.500 0.751 0.375
0.500 0.249 0.625
0.500 0.251 0.125
0.000 0.500 0.000
0.000 0.000 0.500
```

(9)
## LaMg2 (GGA-PBE)

Data for a relaxed structure of LaMg2.

Calculated values
Magnetic moment (μB/f.u.): 0.0
Crystal system: orthorhombic
Formation energy (eV/atom): -0.088
DOS at the Fermi energy (states/eV/cell): 11.45
Space group: Pnma, No. 62

POSCAR file:
```
LaMg2
1.0
5.238 0.000 0.000
0.000 6.744 0.000
0.000 0.000 9.723
Mg La
8 4
direct
0.750 0.960 0.274
0.750 0.834 0.591
0.250 0.040 0.726
0.250 0.540 0.774
0.750 0.334 0.909
0.250 0.666 0.091
0.750 0.460 0.226
0.250 0.166 0.409
0.750 0.319 0.576
0.250 0.181 0.076
0.250 0.681 0.424
0.750 0.819 0.924
```

(10)
## SrTl2Os (GGA-PBE)

Data for a relaxed structure of SrTl2Os.

Calculated values
Magnetic moment (μB/f.u.): 0.0
Crystal system: tetragonal
Formation energy (eV/atom): 0.497
DOS at the Fermi energy (states/eV/cell): 2.64
Space group: P4mm, No. 99

POSCAR file:
```
SrTl2Os
1.0
3.625 0.000 0.000
0.000 3.624 0.000
0.000 0.000 7.966
Os Sr Tl
1 1 2
direct
0.000 0.000 0.449
0.500 0.500 0.706
0.000 0.000 0.042
0.500 0.500 0.303
```

(11)
## In2FeAu (GGA-PBE)

Data for a relaxed structure of In2FeAu.

Calculated values
Magnetic moment (μB/f.u.): 2.1
Crystal system: cubic
Formation energy (eV/atom): 0.209
Energy above the lowest structure with this stoichiometry (kJ/mol of atoms): 11.4
DOS at the Fermi energy (states/eV/cell): 2.86
Space group: Fm-3m, No. 225

POSCAR file:
```
In2FeAu
1.0
0.469 -0.684 4.644
-3.160 -2.615 2.330
1.212 -4.251 1.648
In Fe Au
2 1 1
direct
0.250 0.250 0.250
0.750 0.750 0.750
0.000 0.000 0.000
0.500 0.500 0.500
```

(12)
## CoRe2Br (GGA-PBE)

Data for a relaxed structure of CoRe2Br.

Calculated values
Magnetic moment (μB/f.u.): 0.9
Crystal system: orthorhombic
Energy above the lowest structure with this stoichiometry (kJ/mol of atoms): 48.8
DOS at the Fermi energy (states/eV/cell): 4.13
Space group: Imm2, No. 44

POSCAR file:
```
CoRe2Br
1.0
-1.226 -0.422 -4.999
-2.368 -4.328 -1.527
-0.147 4.195 3.009
Re Br Co
2 1 1
direct
0.740 0.240 0.500
0.002 0.002 0.000
0.496 0.496 0.000
0.262 0.762 0.500
```

(13)
## HfBrN2 (GGA-PBE)

Data for a relaxed structure of HfBrN2.

Calculated values
Magnetic moment (μB/f.u.): 0.0
Crystal system: trigonal
Energy above the lowest structure with this stoichiometry (kJ/mol of atoms): 0.0
DOS at the Fermi energy (states/eV/cell): 2.47
Space group: R-3m, No. 166

POSCAR file:
```
HfBrN2
1.0
-1.705 4.646 4.338
1.336 3.648 5.311
1.019 5.858 2.820
N Br Hf
2 1 1
direct
0.110 0.110 0.110
0.890 0.890 0.890
0.000 0.000 0.000
0.500 0.500 0.500
```

(14)
## CeNd3Sm6Er2 (GGA-PBE)

Data for a relaxed structure of CeNd3Sm6Er2.

Calculated values
Magnetic moment (μB/f.u.): 1.3
Crystal system: monoclinic
Formation energy (eV/atom): 0.039
DOS at the Fermi energy (states/eV/cell): 21.16
Space group: C2/m, No. 12

POSCAR file:
```
CeNd3Sm6Er2
1.0
6.264 -0.001 0.013
-3.131 5.425 0.013
-1.073 -1.858 11.815
Ce Er Sm Nd
1 2 6 3
direct
0.000 0.000 0.000
0.667 0.333 0.000
0.333 0.667 0.000
0.082 0.413 0.245
0.750 0.750 0.246
0.250 0.250 0.754
0.587 0.918 0.755
0.413 0.082 0.245
0.918 0.587 0.755
0.167 0.833 0.500
0.833 0.167 0.500
0.500 0.500 0.500
```

(15)
## CrIr2 (GGA-PBE)

Data for a relaxed structure of CrIr2.

Calculated values
Magnetic moment (μB/f.u.): 0.0
Crystal system: orthorhombic
Formation energy (eV/atom): -0.114
DOS at the Fermi energy (states/eV/cell): 7.07
Space group: Cmcm, No. 63

POSCAR file:
```
CrIr2
1.0
1.362 -7.003 0.000
1.362 7.003 0.000
0.000 0.000 4.302
Ir Cr
4 2
direct
0.879 0.121 0.250
0.121 0.879 0.750
0.561 0.439 0.250
0.439 0.561 0.750
0.222 0.778 0.250
0.778 0.222 0.750
```

(16)
## GaCoP3 (GGA-PBE)

Data for a relaxed structure of GaCoP3.

Calculated values
Magnetic moment (μB/f.u.): 0.0
Crystal system: cubic
Formation energy (eV/atom): 0.526
Energy above the lowest structure with this stoichiometry (kJ/mol of atoms): 0.0
DOS at the Fermi energy (states/eV/cell): 4.77
Space group: Pm-3m, No. 221

POSCAR file:
```
GaCoP3
1.0
-1.351 2.842 -3.079
1.033 -2.909 -3.138
-4.060 -1.685 0.226
P Ga Co
3 1 1
direct
0.500 0.000 0.000
0.000 0.000 0.500
0.000 0.500 0.000
0.500 0.500 0.500
0.000 0.000 0.000
```

(17)
## Er2TmZn (GGA-PBE)

Data for a relaxed structure of Er2TmZn.

Calculated values
Magnetic moment (μB/f.u.): 0.0
Crystal system: cubic
Formation energy (eV/atom): 0.044
Energy above the lowest structure with this stoichiometry (kJ/mol of atoms): 19.8
DOS at the Fermi energy (states/eV/cell): 4.30
Space group: Fm-3m, No. 225

POSCAR file:
```
Er2TmZn
1.0
5.268 0.000 0.000
2.634 4.562 0.000
2.634 1.521 4.301
Zn Er Tm
1 2 1
direct
0.500 0.500 0.500
0.750 0.750 0.750
0.250 0.250 0.250
0.000 0.000 0.000
```

(18)
## PmThSeS (GGA-PBE)

Data for a relaxed structure of PmThSeS.

Calculated values
Magnetic moment (μB/f.u.): 0.0
Crystal system: trigonal
Total energy (eV/atom): -6.696
DOS at the Fermi energy (states/eV/cell): 3.23
Space group: R3m, No. 160

POSCAR file:
```
PmThSeS
1.0
-3.962 0.083 -0.275
1.959 -3.404 -0.586
1.462 -0.455 7.539
Se Th Pm S
1 1 1 1
direct
0.966 0.381 0.362
0.484 0.140 0.639
0.122 0.959 0.096
0.306 0.551 0.872
```

(19)
## AcSmCd17 (GGA-PBE)

Data for a relaxed structure of AcSmCd17.

Calculated values
Magnetic moment (μB/f.u.): 0.0
Crystal system: trigonal
Formation energy (eV/atom): -0.164
DOS at the Fermi energy (states/eV/cell): 4.53
Space group: R3m, No. 160

POSCAR file:
```
AcSmCd17
1.0
7.660 0.057 0.967
0.860 7.611 0.967
0.063 0.057 7.720
Cd Ac Sm
17 1 1
direct
0.700 0.003 0.296
0.906 0.906 0.906
0.187 0.630 0.630
0.630 0.630 0.187
0.630 0.187 0.630
0.986 0.515 0.986
0.350 0.350 0.864
0.515 0.986 0.986
0.296 0.003 0.700
0.003 0.296 0.700
0.700 0.296 0.003
0.296 0.700 0.003
0.105 0.105 0.105
0.986 0.986 0.515
0.864 0.350 0.350
0.003 0.700 0.296
0.350 0.864 0.350
0.665 0.665 0.665
0.329 0.329 0.329
```

(20)
## Na4DyU3Se8 (GGA-PBE)

Data for a relaxed structure of Na4DyU3Se8.

Calculated values
Magnetic moment (μB/f.u.): 9.0
Crystal system: trigonal
Total energy (eV/atom): -5.775
DOS at the Fermi energy (states/eV/cell): 15.71
Space group: R-3m, No. 166

POSCAR file:
```
Na4DyU3Se8
1.0
-6.705 -4.396 -2.029
2.599 -0.213 -8.127
5.100 -2.727 5.910
Se Na U Dy
8 4 3 1
direct
0.243 0.733 0.487
0.253 0.267 0.010
0.243 0.733 0.990
0.757 0.267 0.513
0.255 0.265 0.510
0.745 0.735 0.490
0.757 0.267 0.010
0.747 0.733 0.990
0.500 0.000 0.500
0.000 0.000 0.500
0.500 0.000 0.000
0.000 0.000 0.000
0.500 0.500 0.500
0.000 0.500 0.500
0.500 0.500 0.000
0.000 0.500 0.000
```